A relaxed structure of Tm3AlGa2, computed with PBE-GGA.

```
data_Tm3AlGa2
_cell_length_a 11.490
_cell_length_b 4.436
_cell_length_c 10.758
_cell_angle_alpha 90.00
_cell_angle_beta 90.00
_cell_angle_gamma 90.00
_symmetry_space_group_name_H-M 'P 1'
_symmetry_Int_Tables_number 1
loop_
_symmetry_equiv_pos_as_xyz
'x,y,z'
loop_
_atom_site_label
_atom_site_fract_x
_atom_site_fract_y
_atom_site_fract_z
Tm1 0.045 0.250 0.129
Tm2 0.145 0.750 0.589
Tm3 0.207 0.250 0.823
Tm4 0.293 0.750 0.323
Tm5 0.355 0.250 0.089
Tm6 0.455 0.750 0.629
Tm7 0.545 0.250 0.371
Tm8 0.645 0.750 0.911
Tm9 0.707 0.250 0.677
Tm10 0.793 0.750 0.177
Tm11 0.855 0.250 0.411
Tm12 0.955 0.750 0.871
Al1 0.125 0.250 0.398
Al2 0.375 0.750 0.898
Al3 0.625 0.250 0.102
Al4 0.875 0.750 0.602
Ga1 0.014 0.750 0.333
Ga2 0.182 0.750 0.027
Ga3 0.318 0.250 0.527
Ga4 0.486 0.250 0.833
Ga5 0.514 0.750 0.167
Ga6 0.682 0.750 0.473
Ga7 0.818 0.250 0.973
Ga8 0.986 0.250 0.667
```

Calculated values
Its energy relative to the lowest polymorph listed for this composition is 0.000 eV per atom. Its space-group type is Pnma (62). The volume comes out at 548.3 Å³/cell. As for the crystal system: orthorhombic. For the formation energy, the calculation gives -0.506 eV per atom.

A relaxed structure of Ta6Co5Os, computed with PBE-GGA.

```
data_Ta6Co5Os
_cell_length_a 7.065
_cell_length_b 7.065
_cell_length_c 6.026
_cell_angle_alpha 90.00
_cell_angle_beta 90.00
_cell_angle_gamma 143.90
_symmetry_space_group_name_H-M 'P 1'
_symmetry_Int_Tables_number 1
loop_
_symmetry_equiv_pos_as_xyz
'x,y,z'
loop_
_atom_site_label
_atom_site_fract_x
_atom_site_fract_y
_atom_site_fract_z
Ta1 0.000 0.000 0.240
Ta2 0.000 0.000 0.760
Ta3 0.327 0.673 0.255
Ta4 0.327 0.673 0.745
Ta5 0.673 0.327 0.255
Ta6 0.673 0.327 0.745
Co1 0.146 0.854 0.500
Co2 0.165 0.835 0.000
Co3 0.500 0.500 0.000
Co4 0.835 0.165 0.000
Co5 0.854 0.146 0.500
Os1 0.500 0.500 0.500
```

Calculated values
Its space-group type is Cmmm (65). The volume comes out at 177.2 Å³/cell. As for the crystal system: orthorhombic. For the formation energy, the calculation gives -0.154 eV per atom.